Entry 1:
Material: CaTcMo2
Method: DFT, GGA-PBE
State: relaxed

Calculated values
**Total moment**: 0.000 μB per atom
**D(E_F)**: 4.258 states/eV/cell
**Calculated total energy**: -7.88 eV per atom

abc: 4.5950 4.5950 4.5950
angles: 60.00 60.00 60.00
Fractional positions:
Tc (0.7500, 0.7500, 0.7500)
Ca (0.5000, 0.5000, 0.5000)
Mo (0.2500, 0.2500, 0.2500)
Mo (0.0000, 0.0000, 0.0000)

***

Entry 2:
Material: Ca2TcMo
Method: DFT, GGA-PBE
State: relaxed

Calculated values
**Total moment**: 0.000 μB per atom
**D(E_F)**: 4.301 states/eV/cell
**Calculated total energy**: -6.03 eV per atom

abc: 3.2821 3.2831 9.5743
angles: 69.96 90.00 90.00
Fractional positions:
Tc (0.5000, 0.8080, 0.6922)
Ca (0.5000, 0.1860, 0.3141)
Ca (0.0000, 0.0693, 0.9306)
Mo (0.0000, 0.4368, 0.5631)

***

Entry 3:
Material: Ca2TcMo
Method: DFT, GGA-PBE
State: relaxed

Calculated values
**Total moment**: 0.001 μB per atom
**D(E_F)**: 4.719 states/eV/cell
**Calculated total energy**: -5.50 eV per atom

abc: 2.8177 2.8177 10.1337
angles: 90.00 90.00 90.48
Fractional positions:
Tc (0.5000, 0.5000, 0.7500)
Ca (0.0000, 0.0000, 0.5049)
Ca (0.0000, 0.0000, 0.9951)
Mo (0.5000, 0.5000, 0.2500)

***

Entry 4:
Material: Ca2TcMo
Method: DFT, GGA-PBE
State: relaxed

Calculated values
**Total moment**: 0.000 μB per atom
**D(E_F)**: 3.138 states/eV/cell
**Calculated total energy**: -5.53 eV per atom

abc: 3.9671 3.9671 5.0751
angles: 90.00 90.00 90.00
Fractional positions:
Ca (0.5000, 0.5000, 0.0000)
Ca (0.0000, 0.0000, 0.0000)
Mo (0.5000, 0.0000, 0.5000)
Tc (0.0000, 0.5000, 0.5000)

***

Entry 5:
Material: CaTcMo2
Method: DFT, GGA-PBE
State: relaxed

Calculated values
**Total moment**: 0.000 μB per atom
**D(E_F)**: 3.881 states/eV/cell
**Calculated total energy**: -7.99 eV per atom

abc: 5.5083 5.5083 5.5083
angles: 146.80 129.00 62.22
Fractional positions:
Mo (0.5220, 0.5220, 0.0000)
Mo (0.9780, 0.9780, 0.0000)
Ca (0.2500, 0.7500, 0.5000)
Tc (0.7500, 0.2500, 0.5000)

***

Entry 6:
Material: Ca2TcMo
Method: DFT, GGA-PBE
State: relaxed

Calculated values
**Total moment**: 0.000 μB per atom
**D(E_F)**: 2.937 states/eV/cell
**Calculated total energy**: -5.53 eV per atom

abc: 6.2678 5.7986 2.8076
angles: 89.87 63.65 115.66
Fractional positions:
Ca (0.0000, 0.0000, 0.0000)
Ca (0.5000, 0.0000, 0.5000)
Mo (0.0000, 0.5000, 0.5000)
Tc (0.5000, 0.5000, 0.0000)

***

What is the calculated total energy in the second record? -6.03 eV per atom